Density functional theory data (PBE) for K2AlIr after structural relaxation.

```
K2AlIr
1.0
-3.895 0.467 3.243
-1.816 -4.103 2.403
0.769 -0.569 4.999
K Ir Al
2 1 1
direct
0.000 0.000 0.000
0.250 0.250 0.250
0.750 0.750 0.750
0.500 0.500 0.500
```

## Properties
E_tot ... -12.32 eV/cell
Symmetry ... F-43m
ΔE_f ... 620 meV per atom
DOS(E_F) ... 0.347 states/eV/atom

Density functional theory data (PBE) for K2AlIr after structural relaxation.

```
K2AlIr
1.0
-1.735 -2.110 -2.768
1.303 -2.569 1.142
-7.984 -1.363 6.043
K Al Ir
2 1 1
direct
0.000 0.000 0.917
0.500 0.500 0.329
0.000 0.000 0.609
0.500 0.500 0.644
```

## Properties
E_tot ... -14.79 eV/cell
Symmetry ... Pmm2
ΔE_f ... 3 meV per atom
DOS(E_F) ... 0.383 states/eV/atom

Density functional theory data (PBE) for KAl2Ir2 after structural relaxation.

```
KAl2Ir2
1.0
-5.869 5.027 0.420
-5.038 -5.874 -0.098
0.094 -0.128 2.836
Ir Al K
4 4 2
direct
0.646 0.146 0.000
0.354 0.854 0.000
0.146 0.354 0.000
0.854 0.646 0.000
0.640 0.860 0.500
0.860 0.360 0.500
0.140 0.640 0.500
0.360 0.140 0.500
0.000 0.000 0.000
0.500 0.500 0.000
```

## Properties
E_tot ... -56.11 eV/cell
Symmetry ... P4/mbm
ΔE_f ... -351 meV per atom
DOS(E_F) ... 0.250 states/eV/atom

Density functional theory data (PBE) for K2AlIr after structural relaxation.

```
K2AlIr
1.0
-2.347 -0.113 -3.293
-1.498 -3.577 1.190
-4.014 2.602 2.771
Al K Ir
1 2 1
direct
0.500 0.000 0.500
0.500 0.500 0.000
0.000 0.000 0.000
0.000 0.500 0.500
```

## Properties
E_tot ... -12.30 eV/cell
Symmetry ... Pmmm
ΔE_f ... 624 meV per atom
DOS(E_F) ... 0.583 states/eV/atom

Density functional theory data (PBE) for K2AlIr after structural relaxation.

```
K2AlIr
1.0
11.722 -0.002 -0.001
11.335 2.985 -0.001
11.335 1.467 2.600
Al K Ir
1 2 1
direct
0.250 0.250 0.250
0.007 0.007 0.007
0.493 0.493 0.493
0.750 0.750 0.750
```

## Properties
E_tot ... -11.65 eV/cell
Symmetry ... R-3m
ΔE_f ... 788 meV per atom
DOS(E_F) ... 0.920 states/eV/atom

Density functional theory data (PBE) for K2AlIr after structural relaxation.

```
K2AlIr
1.0
-4.583 -2.373 -3.005
5.634 -1.975 0.108
-0.754 -2.002 2.731
K Ir Al
2 1 1
direct
0.000 0.000 0.000
0.500 0.500 0.000
0.000 0.500 0.500
0.500 0.000 0.500
```

## Properties
E_tot ... -12.04 eV/cell
Symmetry ... Cmmm
ΔE_f ... 689 meV per atom
DOS(E_F) ... 0.716 states/eV/atom

Density functional theory data (PBE) for K2MgAlIr after structural relaxation.

```
K2MgAlIr
1.0
-4.131 3.584 -3.071
-3.475 -0.706 3.850
2.223 5.077 2.936
Ir K Mg Al
1 2 1 1
direct
0.500 0.500 0.500
0.000 0.000 0.500
0.500 0.000 0.000
0.000 0.500 0.000
0.000 0.000 0.000
```

## Properties
E_tot ... -9.96 eV/cell
Symmetry ... P4/mmm
ΔE_f ... 1287 meV per atom
DOS(E_F) ... 1.246 states/eV/atom

Density functional theory data (PBE) for K2MgAlIr after structural relaxation.

```
K2MgAlIr
1.0
-4.386 1.911 4.237
0.851 -3.717 2.557
4.494 3.228 3.197
Ir K Al Mg
1 2 1 1
direct
0.000 0.500 0.000
0.000 0.000 0.500
0.500 0.000 0.000
0.000 0.000 0.000
0.500 0.500 0.500
```

## Properties
E_tot ... -13.56 eV/cell
Symmetry ... P4/mmm
ΔE_f ... 567 meV per atom
DOS(E_F) ... 0.611 states/eV/atom

Copy entry 8 word for word.
Density functional theory data (PBE) for K2MgAlIr after structural relaxation.

```
K2MgAlIr
1.0
-4.386 1.911 4.237
0.851 -3.717 2.557
4.494 3.228 3.197
Ir K Al Mg
1 2 1 1
direct
0.000 0.500 0.000
0.000 0.000 0.500
0.500 0.000 0.000
0.000 0.000 0.000
0.500 0.500 0.500
```

## Properties
E_tot ... -13.56 eV/cell
Symmetry ... P4/mmm
ΔE_f ... 567 meV per atom
DOS(E_F) ... 0.611 states/eV/atom